# 1
Below is a PBEsol-optimized structure of LiCrSnO4, with properties calculated at the SCAN level.

Summary:
- relative energy among the computed polymorphs (meV per atom) = 76
- M_tot (μB/atom) = 0.43
- uncorrected energy (eV for the cell shown) = -385.5
- SG = P4_322

a b c (Å): 6.009 6.009 8.354
angles (deg): 90.00 90.00 90.00
Atoms (fractional coordinates):
Li  0.000  0.237  0.000
Li  0.000  0.763  0.500
Li  0.237  0.000  0.250
Li  0.763  0.000  0.750
Cr  0.244  0.500  0.250
Cr  0.500  0.244  0.000
Cr  0.500  0.756  0.500
Cr  0.756  0.500  0.750
Sn  0.251  0.251  0.625
Sn  0.251  0.749  0.875
Sn  0.749  0.251  0.375
Sn  0.749  0.749  0.125
O  0.027  0.264  0.253
O  0.027  0.736  0.247
O  0.264  0.027  0.997
O  0.264  0.478  0.015
O  0.264  0.522  0.485
O  0.264  0.973  0.503
O  0.478  0.264  0.235
O  0.478  0.736  0.265
O  0.522  0.264  0.765
O  0.522  0.736  0.735
O  0.736  0.027  0.003
O  0.736  0.478  0.985
O  0.736  0.522  0.515
O  0.736  0.973  0.497
O  0.973  0.264  0.747
O  0.973  0.736  0.753



# 2
Below is a PBEsol-optimized structure of Li2Cr3SnO8, with properties calculated at the SCAN level.

Summary:
- M_tot (μB/atom) = 0.57
- uncorrected energy (eV for the cell shown) = -177.7
- SG = R-3m

a b c (Å): 6.020 6.020 6.020
angles (deg): 57.88 57.88 57.88
Atoms (fractional coordinates):
Li  0.121  0.121  0.121
Li  0.879  0.879  0.879
Cr  0.000  0.500  0.500
Cr  0.500  0.000  0.500
Cr  0.500  0.500  0.000
Sn  0.500  0.500  0.500
O  0.254  0.254  0.717
O  0.254  0.717  0.254
O  0.267  0.267  0.267
O  0.283  0.746  0.746
O  0.717  0.254  0.254
O  0.733  0.733  0.733
O  0.746  0.283  0.746
O  0.746  0.746  0.283



# 3
Below is a PBEsol-optimized structure of LiCrSnO4, with properties calculated at the SCAN level.

Summary:
- relative energy among the computed polymorphs (meV per atom) = 0
- M_tot (μB/atom) = 0.43
- uncorrected energy (eV for the cell shown) = -193.8
- SG = Imma

a b c (Å): 6.051 6.051 6.051
angles (deg): 121.45 118.06 90.45
Atoms (fractional coordinates):
Li  0.376  0.126  0.250
Li  0.624  0.874  0.750
Cr  0.000  0.000  0.500
Cr  0.000  0.500  0.000
Sn  0.000  0.500  0.500
Sn  0.500  0.500  0.000
O  0.207  0.742  0.466
O  0.224  0.258  0.966
O  0.236  0.250  0.514
O  0.236  0.722  0.986
O  0.764  0.278  0.014
O  0.764  0.750  0.486
O  0.776  0.742  0.034
O  0.793  0.258  0.534



# 4
Below is a PBEsol-optimized structure of Li2Cr3TeO8, with properties calculated at the SCAN level.

Summary:
- M_tot (μB/atom) = 0.57
- uncorrected energy (eV for the cell shown) = -354.8
- SG = P6_3mc

a b c (Å): 5.855 5.855 9.756
angles (deg): 90.00 90.00 120.00
Atoms (fractional coordinates):
Li  0.000  0.000  0.000
Li  0.000  0.000  0.500
Li  0.333  0.667  0.092
Li  0.667  0.333  0.592
Cr  0.170  0.341  0.776
Cr  0.170  0.830  0.776
Cr  0.341  0.170  0.276
Cr  0.659  0.830  0.776
Cr  0.830  0.170  0.276
Cr  0.830  0.659  0.276
Te  0.333  0.667  0.497
Te  0.667  0.333  0.997
O  0.000  0.000  0.184
O  0.000  0.000  0.684
O  0.029  0.514  0.664
O  0.157  0.313  0.391
O  0.157  0.843  0.391
O  0.313  0.157  0.891
O  0.333  0.667  0.883
O  0.486  0.514  0.664
O  0.486  0.971  0.664
O  0.514  0.029  0.164
O  0.514  0.486  0.164
O  0.667  0.333  0.383
O  0.687  0.843  0.391
O  0.843  0.157  0.891
O  0.843  0.687  0.891
O  0.971  0.486  0.164



# 5
Below is a PBEsol-optimized structure of Li2CrTeO6, with properties calculated at the SCAN level.

Summary:
- M_tot (μB/atom) = 0.20
- uncorrected energy (eV for the cell shown) = -116.0
- SG = R3

a b c (Å): 5.245 5.245 5.245
angles (deg): 57.05 57.05 57.05
Atoms (fractional coordinates):
Li  0.000  0.000  0.000
Li  0.495  0.495  0.495
Cr  0.282  0.282  0.282
Te  0.783  0.783  0.783
O  0.054  0.660  0.405
O  0.164  0.545  0.912
O  0.405  0.054  0.660
O  0.545  0.912  0.164
O  0.660  0.405  0.054
O  0.912  0.164  0.545



# 6
Below is a PBEsol-optimized structure of Li4Ti3Cr3Te2O16, with properties calculated at the SCAN level.

Summary:
- M_tot (μB/atom) = 0.28
- uncorrected energy (eV for the cell shown) = -354.3
- SG = Cm

a b c (Å): 5.846 5.846 10.026
angles (deg): 90.45 90.45 60.57
Atoms (fractional coordinates):
Li  0.000  0.000  0.000
Li  0.000  0.000  0.497
Li  0.336  0.336  0.589
Li  0.669  0.669  0.092
Ti  0.177  0.177  0.268
Ti  0.346  0.835  0.772
Ti  0.835  0.346  0.772
Cr  0.172  0.662  0.275
Cr  0.662  0.172  0.275
Cr  0.830  0.830  0.777
Te  0.340  0.340  0.996
Te  0.669  0.669  0.490
O  0.000  0.000  0.182
O  0.028  0.485  0.158
O  0.158  0.688  0.889
O  0.160  0.160  0.891
O  0.317  0.846  0.388
O  0.335  0.335  0.382
O  0.485  0.028  0.158
O  0.489  0.489  0.165
O  0.513  0.978  0.661
O  0.515  0.515  0.660
O  0.667  0.667  0.885
O  0.688  0.158  0.889
O  0.842  0.842  0.386
O  0.846  0.317  0.388
O  0.978  0.513  0.661
O  0.999  0.999  0.680



# 7
Below is a PBEsol-optimized structure of Li4V3Cr3Te2O16, with properties calculated at the SCAN level.

Summary:
- M_tot (μB/atom) = 0.46
- uncorrected energy (eV for the cell shown) = -353.5
- SG = Cm

a b c (Å): 5.864 5.864 9.932
angles (deg): 90.51 90.51 59.43
Atoms (fractional coordinates):
Li  0.000  0.000  0.000
Li  0.002  0.002  0.499
Li  0.331  0.331  0.090
Li  0.663  0.663  0.593
V  0.173  0.173  0.769
V  0.354  0.822  0.273
V  0.822  0.354  0.273
Cr  0.168  0.658  0.774
Cr  0.658  0.168  0.774
Cr  0.833  0.833  0.275
Te  0.335  0.335  0.492
Te  0.668  0.668  0.989
O  0.000  0.000  0.684
O  0.002  0.002  0.185
O  0.022  0.483  0.664
O  0.156  0.156  0.387
O  0.165  0.683  0.389
O  0.315  0.842  0.888
O  0.330  0.330  0.882
O  0.483  0.022  0.664
O  0.483  0.483  0.662
O  0.511  0.974  0.166
O  0.512  0.512  0.157
O  0.670  0.670  0.386
O  0.683  0.165  0.389
O  0.842  0.315  0.888
O  0.842  0.842  0.889
O  0.974  0.511  0.166



# 8
Below is a PBEsol-optimized structure of Li4VCrTe2O12, with properties calculated at the SCAN level.

Summary:
- M_tot (μB/atom) = 0.15
- uncorrected energy (eV for the cell shown) = -233.1
- SG = P1

a b c (Å): 5.025 5.277 7.289
angles (deg): 86.13 89.98 89.87
Atoms (fractional coordinates):
Li  0.000  0.000  0.000
Li  0.000  0.017  0.523
Li  0.498  0.504  0.512
Li  0.499  0.521  0.008
V  0.497  0.073  0.291
Cr  0.998  0.584  0.799
Te  0.001  0.576  0.300
Te  0.495  0.088  0.794
O  0.125  0.616  0.548
O  0.190  0.916  0.244
O  0.194  0.284  0.874
O  0.303  0.788  0.874
O  0.330  0.412  0.245
O  0.372  0.110  0.544
O  0.622  0.100  0.061
O  0.675  0.412  0.749
O  0.686  0.792  0.367
O  0.802  0.280  0.375
O  0.820  0.914  0.749
O  0.871  0.612  0.053